This record from the Alexandria database describes a relaxed structure of Mg2ZrSbN4. The functional is GGA-PBE.

```
data_Mg2ZrSbN4
_chemical_formula_sum 'Mg2 Zr1 Sb1 N4'
_symmetry_space_group_name_H-M 'P 1'
_symmetry_Int_Tables_number 1
_symmetry_space_group_name_Hall 'P 1'
_cell_length_a 3.235
_cell_length_b 5.697
_cell_length_c 5.531
_cell_angle_alpha 109.94
_cell_angle_beta 90.00
_cell_angle_gamma 90.00
loop_
_atom_site_label
_atom_site_type_symbol
_atom_site_fract_x
_atom_site_fract_y
_atom_site_fract_z
_atom_site_occupancy
Mg1 Mg 0.500 0.000 0.500 1
Mg2 Mg 0.000 0.500 0.500 1
Zr1 Zr 0.500 0.500 0.000 1
Sb1 Sb 0.000 0.000 0.000 1
N1 N 0.500 0.254 0.247 1
N2 N 0.500 0.746 0.753 1
N3 N 0.000 0.252 0.760 1
N4 N 0.000 0.748 0.240 1
```

Summary:
Formation energy from raw total energies ... -0.6134 eV/atom